1.
Below is Tm2Be3Cu17 after structural relaxation, with properties calculated at the PBE level.

Computed properties:
Space group: R-3m (166)
Calculated density (g/cm3): 8.11
Calculated total energy (eV/atom): -3.979
ΔH_f (0 K) (eV per atom): 0.101

a b c (Å): 6.698 6.698 6.698
angles (deg): 83.98 83.98 83.98
Element x y z (fractional)
Cu: 0.831 0.336 0.336
Cu: 0.000 0.000 0.500
Cu: 0.903 0.903 0.903
Cu: 0.730 0.270 0.000
Cu: 0.336 0.336 0.831
Cu: 0.730 0.000 0.270
Cu: 0.000 0.500 0.000
Cu: 0.336 0.831 0.336
Cu: 0.500 0.000 0.000
Cu: 0.000 0.270 0.730
Cu: 0.000 0.730 0.270
Cu: 0.270 0.730 0.000
Cu: 0.664 0.664 0.169
Cu: 0.097 0.097 0.097
Cu: 0.664 0.169 0.664
Cu: 0.270 0.000 0.730
Cu: 0.169 0.664 0.664
Be: 0.000 0.500 0.500
Be: 0.500 0.000 0.500
Be: 0.500 0.500 0.000
Tm: 0.328 0.328 0.328
Tm: 0.672 0.672 0.672

2.
Below is TmBeCu2 after structural relaxation, with properties calculated at the PBE level.

Computed properties:
Space group: R-3m (166)
Calculated density (g/cm3): 8.03
Calculated total energy (eV/atom): -4.258
ΔH_f (0 K) (eV per atom): -0.160

a b c (Å): 3.993 3.993 5.115
angles (deg): 67.03 67.03 60.00
Element x y z (fractional)
Tm: 0.000 0.000 0.000
Be: 0.500 0.500 0.500
Cu: 0.203 0.203 0.392
Cu: 0.797 0.797 0.608

3.
Below is TmBe2Cu9 after structural relaxation, with properties calculated at the PBE level.

Computed properties:
Space group: I4_1/amd (141)
Calculated density (g/cm3): 8.30
Calculated total energy (eV/atom): -4.184
ΔH_f (0 K) (eV per atom): -0.118

a b c (Å): 6.288 7.628 7.628
angles (deg): 80.22 65.66 65.66
Element x y z (fractional)
Cu: 0.441 0.824 0.421
Cu: 0.686 0.579 0.176
Cu: 0.735 0.824 0.579
Cu: 0.309 0.079 0.676
Cu: 0.686 0.176 0.579
Cu: 0.441 0.421 0.824
Cu: 0.000 0.000 0.000
Cu: 0.735 0.579 0.824
Cu: 0.750 0.500 0.500
Cu: 0.138 0.421 0.176
Cu: 0.612 0.324 0.079
Cu: 0.612 0.079 0.324
Cu: 0.015 0.921 0.676
Cu: 0.064 0.921 0.324
Cu: 0.015 0.676 0.921
Cu: 0.138 0.176 0.421
Cu: 0.064 0.324 0.921
Cu: 0.309 0.676 0.079
Tm: 0.500 0.000 0.000
Tm: 0.250 0.500 0.500
Be: 0.875 0.750 0.250
Be: 0.375 0.750 0.750
Be: 0.875 0.250 0.750
Be: 0.875 0.250 0.250

4.
Below is TmBeCu4 after structural relaxation, with properties calculated at the PBE level.

Computed properties:
Space group: R3m (160)
Calculated density (g/cm3): 8.80
Calculated total energy (eV/atom): -4.299
ΔH_f (0 K) (eV per atom): -0.202

a b c (Å): 4.787 4.787 4.787
angles (deg): 62.29 62.29 62.29
Element x y z (fractional)
Tm: 0.997 0.997 0.997
Cu: 0.377 0.377 0.873
Cu: 0.873 0.377 0.377
Cu: 0.745 0.745 0.745
Cu: 0.377 0.873 0.377
Be: 0.381 0.381 0.381

5.
Below is Tm2Be15Cu2 after structural relaxation, with properties calculated at the PBE level.

Computed properties:
Space group: R-3m (166)
Calculated density (g/cm3): 5.02
Calculated total energy (eV/atom): -3.998
ΔH_f (0 K) (eV per atom): -0.154

a b c (Å): 5.875 5.875 5.875
angles (deg): 82.88 82.88 82.88
Element x y z (fractional)
Be: 0.500 0.000 0.000
Be: 0.338 0.338 0.843
Be: 0.843 0.338 0.338
Be: 0.281 0.719 0.000
Be: 0.662 0.662 0.157
Be: 0.719 0.281 0.000
Be: 0.719 0.000 0.281
Be: 0.000 0.000 0.500
Be: 0.000 0.281 0.719
Be: 0.157 0.662 0.662
Be: 0.281 0.000 0.719
Be: 0.000 0.719 0.281
Be: 0.000 0.500 0.000
Be: 0.662 0.157 0.662
Be: 0.338 0.843 0.338
Tm: 0.344 0.344 0.344
Tm: 0.656 0.656 0.656
Cu: 0.896 0.896 0.896
Cu: 0.104 0.104 0.104

6.
Below is TmBe2Cu6 after structural relaxation, with properties calculated at the PBE level.

Computed properties:
Space group: Fd-3m (227)
Calculated density (g/cm3): 6.93
Calculated total energy (eV/atom): -3.744
ΔH_f (0 K) (eV per atom): 0.311

a b c (Å): 7.276 7.276 7.276
angles (deg): 60.00 60.00 60.00
Element x y z (fractional)
Be: 0.125 0.125 0.125
Be: 0.625 0.125 0.125
Be: 0.125 0.125 0.625
Be: 0.125 0.625 0.125
Cu: 0.021 0.021 0.479
Cu: 0.021 0.479 0.021
Cu: 0.021 0.479 0.479
Cu: 0.229 0.229 0.771
Cu: 0.479 0.021 0.479
Cu: 0.479 0.021 0.021
Cu: 0.229 0.771 0.771
Cu: 0.771 0.229 0.771
Cu: 0.479 0.479 0.021
Cu: 0.229 0.771 0.229
Cu: 0.771 0.771 0.229
Cu: 0.771 0.229 0.229
Tm: 0.750 0.750 0.750
Tm: 0.500 0.500 0.500

Copy entry 4 word for word.
Below is TmBeCu4 after structural relaxation, with properties calculated at the PBE level.

Computed properties:
Space group: R3m (160)
Calculated density (g/cm3): 8.80
Calculated total energy (eV/atom): -4.299
ΔH_f (0 K) (eV per atom): -0.202

a b c (Å): 4.787 4.787 4.787
angles (deg): 62.29 62.29 62.29
Element x y z (fractional)
Tm: 0.997 0.997 0.997
Cu: 0.377 0.377 0.873
Cu: 0.873 0.377 0.377
Cu: 0.745 0.745 0.745
Cu: 0.377 0.873 0.377
Be: 0.381 0.381 0.381

- Number 3 is which compound?
  TmBe2Cu9

- Look up the calculated total energy of the first one.
  -3.979 eV/atom

- Which formula does entry 3 have?
  TmBe2Cu9